# AcHo2Pt PBE relaxed
# * offset from the most stable computed form: 0.0 kJ/mol of atoms
# * calculated formation energy: -2.384 eV per formula unit
# * spin magnetization: 0.00 μB per atom
data_AcHo2Pt
_cell_length_a 3.6037
_cell_length_b 3.6037
_cell_length_c 8.9885
_cell_angle_alpha 90.00
_cell_angle_beta 90.00
_cell_angle_gamma 90.00
_symmetry_space_group_name_H-M 'P 4/m m m'
_symmetry_Int_Tables_number 123
_symmetry_space_group_name_Hall '-P 4 2'
loop_
_atom_site_label
_atom_site_fract_x
_atom_site_fract_y
_atom_site_fract_z
Ac1 0.0000 0.0000 0.0000
Ho1 0.5000 0.5000 0.3214
Pt1 0.0000 0.0000 0.5000